# TaAu2Cl (GGA-PBE, relaxed)
data_TaAu2Cl
_space_group_name_H-M_alt 'P 1'
_space_group_IT_number 1
_space_group_name_Hall 'P 1'
_cell_length_a 4.753
_cell_length_b 4.753
_cell_length_c 4.753
_cell_angle_alpha 60.00
_cell_angle_beta 60.00
_cell_angle_gamma 60.00
loop_
_atom_site_label
_atom_site_type_symbol
_atom_site_fract_x
_atom_site_fract_y
_atom_site_fract_z
Cl1 Cl 0.000 0.000 0.000
Au1 Au 0.250 0.250 0.250
Ta1 Ta 0.500 0.500 0.500
Au2 Au 0.750 0.750 0.750
# E above lowest polymorph, eV/atom: 0.858
# Fermi-level density of states, states/eV/cell: 4.315
# Total moment, μB/f.u.: 0.000
# Raw formation energy, eV per atom: 0.64